No. 1
This record from the Alexandria database describes Ca2CdPd5Au2 after structural relaxation. The functional is PBE-GGA.

Output
As for the space-group type: P4/mbm. The formation energy is -0.520 eV per atom. As for the density of states at the Fermi level: 0.342 states/eV per atom.

Lattice parameters (Å, degrees): 9.6891 9.6891 4.1554 90.00 90.00 90.00
Atoms (fractional coordinates):
Ca: 0.1711 0.3289 0.0000
Ca: 0.3289 0.8289 0.0000
Ca: 0.6711 0.1711 0.0000
Ca: 0.8289 0.6711 0.0000
Cd: 0.0000 0.0000 0.0000
Cd: 0.5000 0.5000 0.0000
Pd: 0.0000 0.5000 0.5000
Pd: 0.0639 0.8018 0.5000
Pd: 0.1982 0.0639 0.5000
Pd: 0.3018 0.5639 0.5000
Pd: 0.4361 0.3018 0.5000
Pd: 0.5000 0.0000 0.5000
Pd: 0.5639 0.6982 0.5000
Pd: 0.6982 0.4361 0.5000
Pd: 0.8018 0.9361 0.5000
Pd: 0.9361 0.1982 0.5000
Au: 0.1266 0.6266 0.0000
Au: 0.3734 0.1266 0.0000
Au: 0.6266 0.8734 0.0000
Au: 0.8734 0.3734 0.0000



No. 2
This record from the Alexandria database describes La4PmTc after structural relaxation. The functional is PBE-GGA.

Output
As for the space-group type: C2/c. The formation energy is 0.019 eV per atom. As for the density of states at the Fermi level: 1.254 states/eV per atom.

Lattice parameters (Å, degrees): 8.2113 8.2113 6.2886 99.50 99.50 104.76
Atoms (fractional coordinates):
La: 0.0586 0.7358 0.9541
La: 0.1771 0.3635 0.6210
La: 0.2642 0.9414 0.5459
La: 0.3635 0.1771 0.1210
La: 0.6365 0.8229 0.8790
La: 0.7358 0.0586 0.4541
La: 0.8229 0.6365 0.3790
La: 0.9414 0.2642 0.0459
Pm: 0.3902 0.6098 0.2500
Pm: 0.6098 0.3902 0.7500
Tc: 0.0042 0.9958 0.7500
Tc: 0.9958 0.0042 0.2500



No. 3
This record from the Alexandria database describes Te2AsRu after structural relaxation. The functional is PBE-GGA.

Output
The uncorrected formation energy is 67 kJ/mol of atoms. As for the space-group type: R-3m. As for the density of states at the Fermi level: 0.796 states/eV per atom.

Lattice parameters (Å, degrees): 12.0332 12.0332 12.0332 14.60 14.60 14.60
Atoms (fractional coordinates):
Te: 0.0715 0.0715 0.0715
Te: 0.9285 0.9285 0.9285
As: 0.5000 0.5000 0.5000
Ru: 0.0000 0.0000 0.0000



No. 4
This record from the Alexandria database describes Pr2YNpP4 after structural relaxation. The functional is PBE-GGA.

Output
As for the space-group type: P2/m. The formation energy is -1.369 eV per atom. As for the density of states at the Fermi level: 1.397 states/eV per atom.

Lattice parameters (Å, degrees): 7.0717 4.0849 7.0953 90.00 109.29 90.00
Atoms (fractional coordinates):
Pr: 0.0000 0.0000 0.0000
Pr: 0.5000 0.5000 0.0000
Y: 0.0000 0.5000 0.5000
Np: 0.5000 0.0000 0.5000
P: 0.2501 0.0000 0.7346
P: 0.2596 0.5000 0.2674
P: 0.7404 0.5000 0.7326
P: 0.7499 0.0000 0.2654



No. 5
This record from the Alexandria database describes Ac2MgP after structural relaxation. The functional is PBE-GGA.

Output
As for the space-group type: P4/mmm. The formation energy is -0.533 eV per atom. As for the density of states at the Fermi level: 1.014 states/eV per atom.

Lattice parameters (Å, degrees): 3.9626 3.9626 7.7359 90.00 90.00 90.00
Atoms (fractional coordinates):
Ac: 0.0000 0.0000 0.2214
Ac: 0.0000 0.0000 0.7786
Mg: 0.5000 0.5000 0.5000
P: 0.5000 0.5000 0.0000



No. 6
This record from the Alexandria database describes K3YIn after structural relaxation. The functional is PBE-GGA.

Output
As for the space-group type: Pm-3m. The formation energy is 0.674 eV per atom. As for the density of states at the Fermi level: 1.593 states/eV per atom.

Lattice parameters (Å, degrees): 6.6172 6.6172 6.6172 90.00 90.00 90.00
Atoms (fractional coordinates):
K: 0.0000 0.0000 0.5000
K: 0.0000 0.5000 0.0000
K: 0.5000 0.0000 0.0000
Y: 0.5000 0.5000 0.5000
In: 0.0000 0.0000 0.0000



No. 7
This record from the Alexandria database describes Ta2Nb7Mo2 after structural relaxation. The functional is PBE-GGA.

Output
As for the space-group type: C2/m. The formation energy is 0.266 eV per atom. As for the density of states at the Fermi level: 1.077 states/eV per atom.

Lattice parameters (Å, degrees): 6.4155 6.4155 5.3057 103.90 103.90 91.99
Atoms (fractional coordinates):
Ta: 0.2351 0.7649 0.0000
Ta: 0.7649 0.2351 0.0000
Nb: 0.0731 0.5919 0.3355
Nb: 0.2727 0.2727 0.9820
Nb: 0.4081 0.9269 0.6645
Nb: 0.5000 0.5000 0.5000
Nb: 0.5919 0.0731 0.3355
Nb: 0.7273 0.7273 0.0180
Nb: 0.9269 0.4081 0.6645
Mo: 0.0875 0.0875 0.3365
Mo: 0.9125 0.9125 0.6635



No. 8
This record from the Alexandria database describes RbBPb after structural relaxation. The functional is PBE-GGA.

Output
As for the space-group type: P-6m2. The formation energy is 0.586 eV per atom. As for the density of states at the Fermi level: 0.012 states/eV per atom.

Lattice parameters (Å, degrees): 4.1066 4.1066 5.9035 90.00 90.00 120.00
Atoms (fractional coordinates):
Rb: 0.0000 0.0000 0.0000
B: 0.3333 0.6667 0.5000
Pb: 0.6667 0.3333 0.5000



No. 9
This record from the Alexandria database describes AgHg2BiH after structural relaxation. The functional is PBE-GGA.

Output
The total energy comes out at -9.58 eV per cell. As for the space-group type: P4/mmm. As for the density of states at the Fermi level: 0.324 states/eV per atom.

Lattice parameters (Å, degrees): 5.5991 5.5991 3.4864 90.00 90.00 90.00
Atoms (fractional coordinates):
Ag: 0.0000 0.0000 0.0000
Hg: 0.0000 0.5000 0.5000
Hg: 0.5000 0.0000 0.5000
Bi: 0.5000 0.5000 0.0000
H: 0.0000 0.0000 0.5000



No. 10
This record from the Alexandria database describes LiHfOs3 after structural relaxation. The functional is PBE-GGA.

Output
As for the space-group type: Pm-3m. The formation energy is 2.141 eV per atom. As for the density of states at the Fermi level: 1.374 states/eV per atom.

Lattice parameters (Å, degrees): 4.8558 4.8558 4.8558 90.00 90.00 90.00
Atoms (fractional coordinates):
Li: 0.0000 0.0000 0.0000
Hf: 0.5000 0.5000 0.5000
Os: 0.0000 0.5000 0.5000
Os: 0.5000 0.0000 0.5000
Os: 0.5000 0.5000 0.0000



No. 11
This record from the Alexandria database describes LiTlP2S after structural relaxation. The functional is PBE-GGA.

Output
The uncorrected formation energy is 87 kJ/mol of atoms. As for the space-group type: P4/mmm. As for the density of states at the Fermi level: 0.869 states/eV per atom.

Lattice parameters (Å, degrees): 5.1991 5.1991 5.3498 90.00 90.00 90.00
Atoms (fractional coordinates):
Li: 0.0000 0.0000 0.0000
Tl: 0.5000 0.5000 0.5000
P: 0.0000 0.5000 0.5000
P: 0.5000 0.0000 0.5000
S: 0.5000 0.5000 0.0000



No. 12
This record from the Alexandria database describes ReTe2S after structural relaxation. The functional is PBE-GGA.

Output
The uncorrected formation energy is 46 kJ/mol of atoms. As for the space-group type: R-3m. As for the density of states at the Fermi level: 1.003 states/eV per atom.

Lattice parameters (Å, degrees): 8.1997 8.1997 8.1997 28.09 28.09 28.09
Atoms (fractional coordinates):
Re: 0.0000 0.0000 0.0000
Te: 0.3935 0.3935 0.3935
Te: 0.6065 0.6065 0.6065
S: 0.5000 0.5000 0.5000



No. 13
This record from the Alexandria database describes DyPaIn6 after structural relaxation. The functional is PBE-GGA.

Output
As for the space-group type: P4/mmm. The formation energy is -0.267 eV per atom. As for the density of states at the Fermi level: 0.881 states/eV per atom.

Lattice parameters (Å, degrees): 6.5689 6.5689 4.6289 90.00 90.00 90.00
Atoms (fractional coordinates):
Dy: 0.0000 0.0000 0.0000
Pa: 0.5000 0.5000 0.0000
In: 0.0000 0.5000 0.0000
In: 0.2496 0.2496 0.5000
In: 0.2496 0.7504 0.5000
In: 0.5000 0.0000 0.0000
In: 0.7504 0.2496 0.5000
In: 0.7504 0.7504 0.5000



No. 14
This record from the Alexandria database describes GaPNO2 after structural relaxation. The functional is PBE-GGA.

Output
The uncorrected formation energy is 46 kJ/mol of atoms. As for the space-group type: P4/mmm. As for the density of states at the Fermi level: 0.650 states/eV per atom.

Lattice parameters (Å, degrees): 3.7772 3.7772 3.9407 90.00 90.00 90.00
Atoms (fractional coordinates):
Ga: 0.0000 0.0000 0.0000
P: 0.5000 0.5000 0.5000
N: 0.0000 0.0000 0.5000
O: 0.0000 0.5000 0.0000
O: 0.5000 0.0000 0.0000



No. 15
This record from the Alexandria database describes CaPr4Sm after structural relaxation. The functional is PBE-GGA.

Output
As for the space-group type: Pmmm. The formation energy is 0.034 eV per atom. As for the density of states at the Fermi level: 1.532 states/eV per atom.

Lattice parameters (Å, degrees): 3.6852 5.3015 11.1870 90.00 90.00 90.00
Atoms (fractional coordinates):
Ca: 0.0000 0.0000 0.0000
Pr: 0.0000 0.0000 0.3383
Pr: 0.0000 0.0000 0.6617
Pr: 0.5000 0.5000 0.1784
Pr: 0.5000 0.5000 0.8216
Sm: 0.5000 0.5000 0.5000



No. 16
This record from the Alexandria database describes HgHSeBr after structural relaxation. The functional is PBE-GGA.

Output
The total energy comes out at -9.68 eV per cell. As for the space-group type: Cm.

Lattice parameters (Å, degrees): 4.9738 4.9738 7.6058 121.54 121.54 51.42
Atoms (fractional coordinates):
Hg: 0.0000 0.0000 0.0000
H: 0.3052 0.3052 0.6222
Se: 0.2927 0.2927 0.8117
Br: 0.3398 0.3398 0.3244



No. 17
This record from the Alexandria database describes NbTe2ICl after structural relaxation. The functional is PBE-GGA.

Output
The uncorrected formation energy is 1 kJ/mol of atoms. As for the space-group type: P4/mmm. As for the density of states at the Fermi level: 1.278 states/eV per atom.

Lattice parameters (Å, degrees): 5.3829 5.3829 5.5514 90.00 90.00 90.00
Atoms (fractional coordinates):
Nb: 0.0000 0.0000 0.0000
Te: 0.0000 0.5000 0.0000
Te: 0.5000 0.0000 0.0000
I: 0.0000 0.0000 0.5000
Cl: 0.5000 0.5000 0.5000



No. 18
This record from the Alexandria database describes LiTc3Ni after structural relaxation. The functional is PBE-GGA.

Output
As for the space-group type: Pm-3m. The formation energy is 1.229 eV per atom. As for the density of states at the Fermi level: 0.864 states/eV per atom.

Lattice parameters (Å, degrees): 4.0628 4.0628 4.0628 90.00 90.00 90.00
Atoms (fractional coordinates):
Li: 0.0000 0.0000 0.0000
Tc: 0.0000 0.0000 0.5000
Tc: 0.0000 0.5000 0.0000
Tc: 0.5000 0.0000 0.0000
Ni: 0.5000 0.5000 0.5000



No. 19
This record from the Alexandria database describes Pm5NdEr after structural relaxation. The functional is PBE-GGA.

Output
As for the space-group type: C2/m. The formation energy is 0.184 eV per atom. As for the density of states at the Fermi level: 1.339 states/eV per atom.

Lattice parameters (Å, degrees): 6.2952 6.2952 7.1022 99.98 99.98 112.30
Atoms (fractional coordinates):
Pm: 0.0000 0.0000 0.0000
Pm: 0.0929 0.5243 0.2667
Pm: 0.4757 0.9071 0.7333
Pm: 0.5243 0.0929 0.2667
Pm: 0.9071 0.4757 0.7333
Nd: 0.0000 0.0000 0.5000
Er: 0.5000 0.5000 0.0000



No. 20
This record from the Alexandria database describes BaHCl after structural relaxation. The functional is PBE-GGA.

Output
The total energy comes out at -11.42 eV per cell. As for the space-group type: F-43m. As for the density of states at the Fermi level: 0.000 states/eV per atom.

Lattice parameters (Å, degrees): 4.9833 4.9833 4.9833 60.00 60.00 60.00
Atoms (fractional coordinates):
Ba: 0.0000 0.0000 0.0000
H: 0.7500 0.7500 0.7500
Cl: 0.2500 0.2500 0.2500